Entry 1:
A plane-wave DFT calculation with GGA-PBEsol was carried out for a relaxed Hf2FeSi2 crystal.

Summary:
raw formation energy: -0.789 eV per atom

Structure (CIF):
```
data_Hf2FeSi2
_chemical_formula_sum 'Hf4 Fe2 Si4'
_symmetry_space_group_name_H-M 'P 4/m b m'
_symmetry_Int_Tables_number 127
_symmetry_space_group_name_Hall '-P 4 2ab'
_cell_length_a 6.082
_cell_length_b 6.082
_cell_length_c 4.100
_cell_angle_alpha 90.00
_cell_angle_beta 90.00
_cell_angle_gamma 90.00
loop_
_atom_site_label
_atom_site_fract_x
_atom_site_fract_y
_atom_site_fract_z
Hf1 0.173 0.327 0.000
Fe1 0.000 0.000 0.500
Si1 0.140 0.640 0.500
```

***

Entry 2:
A plane-wave DFT calculation with GGA-PBEsol was carried out for a relaxed HfFeSi2 crystal.

Summary:
raw formation energy: -0.790 eV per atom

Structure (CIF):
```
data_HfFeSi2
_chemical_formula_sum 'Hf12 Fe12 Si24'
_symmetry_space_group_name_H-M 'I m m m'
_symmetry_Int_Tables_number 71
_symmetry_space_group_name_Hall '-I 2 2'
_cell_length_a 5.086
_cell_length_b 7.646
_cell_length_c 16.749
_cell_angle_alpha 90.00
_cell_angle_beta 90.00
_cell_angle_gamma 90.00
loop_
_atom_site_label
_atom_site_fract_x
_atom_site_fract_y
_atom_site_fract_z
Hf1 0.000 0.000 0.142
Hf2 0.000 0.263 0.404
Fe1 0.000 0.254 0.000
Fe2 0.250 0.250 0.250
Si1 0.000 0.000 0.298
Si2 0.000 0.348 0.139
Si3 0.000 0.500 0.285
Si4 0.243 0.000 0.500
Si5 0.246 0.500 0.500
```

***

Entry 3:
A plane-wave DFT calculation with GGA-PBEsol was carried out for a relaxed HfFeSi crystal.

Summary:
raw formation energy: -0.847 eV per atom

Structure (CIF):
```
data_HfFeSi
_chemical_formula_sum 'Hf4 Fe4 Si4'
_symmetry_space_group_name_H-M 'P n m a'
_symmetry_Int_Tables_number 62
_cell_length_a 6.288
_cell_length_b 3.945
_cell_length_c 6.813
_cell_angle_alpha 90.00
_cell_angle_beta 90.00
_cell_angle_gamma 90.00
loop_
_symmetry_equiv_pos_as_xyz
'x,y,z'
'-x,-y,-z'
'-x+1/2,-y,z+1/2'
'x+1/2,y,-z+1/2'
'x+1/2,-y+1/2,-z+1/2'
'-x+1/2,y+1/2,z+1/2'
'-x,y+1/2,-z'
'x,-y+1/2,z'
loop_
_atom_site_label
_atom_site_fract_x
_atom_site_fract_y
_atom_site_fract_z
Hf1 0.009 0.250 0.198
Fe1 0.157 0.750 0.438
Si1 0.209 0.250 0.607
```

***

Entry 4:
A plane-wave DFT calculation with GGA-PBEsol was carried out for a relaxed HfFeTc3 crystal.

Summary:
energy relative to the elements: 2.23 eV/atom

Structure (CIF):
```
data_HfFeTc3
_chemical_formula_sum 'Hf1 Fe1 Tc3'
_symmetry_space_group_name_H-M 'P m -3 m'
_symmetry_Int_Tables_number 221
_symmetry_space_group_name_Hall '-P 4 2 3'
_cell_length_a 4.621
_cell_length_b 4.621
_cell_length_c 4.621
_cell_angle_alpha 90.00
_cell_angle_beta 90.00
_cell_angle_gamma 90.00
loop_
_atom_site_label
_atom_site_fract_x
_atom_site_fract_y
_atom_site_fract_z
Hf1 0.000 0.000 0.000
Fe1 0.500 0.500 0.500
Tc1 0.000 0.000 0.500
```

***

Entry 5:
A plane-wave DFT calculation with GGA-PBEsol was carried out for a relaxed HfTl2Fe crystal.

Summary:
energy relative to the elements: 0.44 eV/atom

Structure (CIF):
```
data_HfTl2Fe
_chemical_formula_sum 'Hf4 Tl8 Fe4'
_symmetry_space_group_name_H-M 'F m -3 m'
_symmetry_Int_Tables_number 225
_symmetry_space_group_name_Hall '-F 4 2 3'
_cell_length_a 6.745
_cell_length_b 6.745
_cell_length_c 6.745
_cell_angle_alpha 90.00
_cell_angle_beta 90.00
_cell_angle_gamma 90.00
loop_
_atom_site_label
_atom_site_fract_x
_atom_site_fract_y
_atom_site_fract_z
Hf1 0.000 0.000 0.000
Tl1 0.250 0.250 0.250
Fe1 0.000 0.000 0.500
```

***

Entry 6:
A plane-wave DFT calculation with GGA-PBEsol was carried out for a relaxed YHf2Fe2 crystal.

Summary:
energy relative to the elements: -0.06 eV/atom

Structure (CIF):
```
data_YHf2Fe2
_chemical_formula_sum 'Y2 Hf4 Fe4'
_symmetry_space_group_name_H-M 'I 4/m m m'
_symmetry_Int_Tables_number 139
_symmetry_space_group_name_Hall '-I 4 2'
_cell_length_a 4.195
_cell_length_b 4.195
_cell_length_c 10.511
_cell_angle_alpha 90.00
_cell_angle_beta 90.00
_cell_angle_gamma 90.00
loop_
_atom_site_label
_atom_site_fract_x
_atom_site_fract_y
_atom_site_fract_z
Y1 0.000 0.000 0.000
Hf1 0.000 0.500 0.250
Fe1 0.000 0.000 0.397
```

***

Entry 7:
A plane-wave DFT calculation with GGA-PBEsol was carried out for a relaxed Fe2Hg3 crystal.

Summary:
energy relative to the elements: 0.42 eV/atom

Structure (CIF):
```
data_Fe2Hg3
_chemical_formula_sum 'Fe6 Hg9'
_symmetry_space_group_name_H-M 'R -3 m'
_symmetry_Int_Tables_number 166
_symmetry_space_group_name_Hall '-R 3 2"'
_cell_length_a 4.1564
_cell_length_b 4.1564
_cell_length_c 17.9612
_cell_angle_alpha 90.00
_cell_angle_beta 90.00
_cell_angle_gamma 120.00
loop_
_atom_site_label
_atom_site_fract_x
_atom_site_fract_y
_atom_site_fract_z
Fe1 0.0000 0.0000 0.1659
Hg1 0.0000 0.0000 0.0000
Hg2 0.0000 0.0000 0.4194
```

***

Entry 8:
A plane-wave DFT calculation with GGA-PBEsol was carried out for a relaxed Fe3Hg crystal.

Summary:
energy relative to the elements: 0.39 eV/atom

Structure (CIF):
```
data_Fe3Hg
_chemical_formula_sum 'Fe12 Hg4'
_symmetry_space_group_name_H-M 'F m -3 m'
_symmetry_Int_Tables_number 225
_symmetry_space_group_name_Hall '-F 4 2 3'
_cell_length_a 5.977
_cell_length_b 5.977
_cell_length_c 5.977
_cell_angle_alpha 90.00
_cell_angle_beta 90.00
_cell_angle_gamma 90.00
loop_
_atom_site_label
_atom_site_fract_x
_atom_site_fract_y
_atom_site_fract_z
Fe1 0.000 0.000 0.000
Fe2 0.250 0.250 0.250
Hg1 0.000 0.000 0.500
```